No. 1
RbNb5S8, optimized geometry, DFT PBE-GGA; energy relative to the elements, uncorrected = -1.113 eV/atom; space group = Cm, No. 8; M_tot = 0.000 μB per formula unit; DOS(E_F) = 7.23 states/eV/f.u.
1.0
-0.506 -3.354 -0.229
4.374 -0.091 -8.343
6.571 0.303 6.293
S Nb Rb
8 5 1
Direct
0.851 0.514 0.702
0.911 0.153 0.822
0.151 0.500 0.303
0.420 0.849 0.839
0.750 0.814 0.500
0.583 0.175 0.165
0.247 0.191 0.495
0.089 0.820 0.178
0.290 0.635 0.580
0.318 0.004 0.636
0.015 0.997 0.029
0.670 0.000 0.339
0.711 0.376 0.423
0.495 0.474 0.990

=====

No. 2
RbNb6S12, optimized geometry, DFT PBE-GGA; energy relative to the elements, uncorrected = -0.691 eV/atom; space group = R-3m, No. 166; M_tot = 2.190 μB per formula unit; DOS(E_F) = 13.13 states/eV/f.u.
1.0
7.574 -0.003 -0.004
-1.880 7.337 -0.004
-1.880 -2.422 6.925
S Nb Rb
12 6 1
Direct
0.875 0.125 0.500
0.176 0.456 0.456
0.544 0.544 0.824
0.456 0.456 0.176
0.875 0.500 0.125
0.824 0.544 0.544
0.500 0.125 0.875
0.125 0.875 0.500
0.456 0.176 0.456
0.125 0.500 0.875
0.544 0.824 0.544
0.500 0.875 0.125
0.249 0.249 0.634
0.634 0.249 0.249
0.751 0.751 0.366
0.366 0.751 0.751
0.751 0.366 0.751
0.249 0.634 0.249
0.000 0.000 0.000

=====

No. 3
RbNbS3, optimized geometry, DFT PBE-GGA; energy relative to the elements, uncorrected = -1.077 eV/atom; space group = P1, No. 1; relative energy among the computed polymorphs = 7 meV per atom; M_tot = 0.000 μB per formula unit; DOS(E_F) = 0.00 states/eV/f.u.
1.0
-4.338 3.647 -2.599
-3.534 -6.757 3.773
2.148 5.837 4.562
Rb S Nb
2 6 2
Direct
0.457 0.879 0.581
0.108 0.189 0.236
0.148 0.772 0.909
0.030 0.536 0.165
0.531 0.532 0.162
0.414 0.296 0.671
0.648 0.774 0.913
0.914 0.294 0.673
0.759 0.534 0.914
0.259 0.534 0.917

=====

No. 4
RbNbS3, optimized geometry, DFT PBE-GGA; energy relative to the elements, uncorrected = -0.484 eV/atom; space group = Cmcm, No. 63; relative energy among the computed polymorphs = 600 meV per atom; M_tot = 0.000 μB per formula unit; DOS(E_F) = 2.48 states/eV/f.u.
1.0
2.241 -9.118 0.000
2.241 9.118 0.000
0.000 0.000 6.123
S Rb Nb
6 2 2
Direct
0.079 0.381 0.250
0.381 0.079 0.750
0.921 0.619 0.750
0.619 0.921 0.250
0.000 0.000 0.500
0.000 0.000 0.000
0.167 0.833 0.250
0.833 0.167 0.750
0.464 0.536 0.250
0.536 0.464 0.750

=====

Question: Which of these has the highest energy relative to the elements, uncorrected?
Answer: number 4